The following is a DFT calculation (PBE) of Sb2RuIF after structural relaxation.

The crystal system is tetragonal. The value obtained for the energy is -4.065 eV per atom. For the polymorph energy (0 for the lowest one), the calculation gives 0 meV per atom. The uncorrected formation energy is 2.837 kcal/mol of atoms.

It has space group P4/mmm (No. 123), with a = 5.047 Å, b = 5.047 Å, c = 5.558 Å, α = 90.00°, β = 90.00° and γ = 90.00°. The asymmetric unit holds Sb at (0.000, 0.500, 0.000), Ru at (0.000, 0.000, 0.000), I at (0.000, 0.000, 0.500) and F at (0.500, 0.500, 0.500).